[1]
Here is crystalline LuSbIr at its relaxed geometry from Alexandria via LeMat-Bulk. Energies are from PBE-GGA.

Values from the calculation:
- density of states at the Fermi level (states/eV per cell) = 1.74
- raw formation energy (meV per atom) = -734.4

abc: 4.597 4.597 3.356
angles: 90.00 90.00 120.00
Element x y z (fractional)
Lu 0.000 0.000 0.000
Sb 0.667 0.333 0.500
Ir 0.333 0.667 0.500



[2]
Here is crystalline OsPb2W at its relaxed geometry from Alexandria via LeMat-Bulk. Energies are from PBE-GGA.

Values from the calculation:
- DFT formation energy (eV per atom) = 1.273
- density of states at the Fermi level (states/eV per cell) = 6.49

abc: 4.795 4.795 4.795
angles: 60.00 60.00 60.00
Element x y z (fractional)
Os 0.000 0.000 0.000
Pb 0.250 0.250 0.250
Pb 0.750 0.750 0.750
W 0.500 0.500 0.500



[3]
Here is crystalline La3Nd2Tl at its relaxed geometry from Alexandria via LeMat-Bulk. Energies are from PBE-GGA.

Values from the calculation:
- DFT formation energy (eV per atom) = -0.066
- density of states at the Fermi level (states/eV per cell) = 7.16

abc: 6.354 6.354 6.020
angles: 90.00 90.00 124.56
Element x y z (fractional)
La 0.000 0.000 0.000
La 0.344 0.656 0.000
La 0.656 0.344 0.000
Nd 0.154 0.846 0.500
Nd 0.846 0.154 0.500
Tl 0.500 0.500 0.500



[4]
Here is crystalline Tm3SiGe2 at its relaxed geometry from Alexandria via LeMat-Bulk. Energies are from PBE-GGA.

Values from the calculation:
- density of states at the Fermi level (states/eV per cell) = 16.52
- raw formation energy (meV per atom) = -714.8

abc: 11.379 4.070 11.350
angles: 90.00 90.00 90.00
Element x y z (fractional)
Tm 0.057 0.250 0.122
Tm 0.118 0.750 0.556
Tm 0.214 0.250 0.793
Tm 0.286 0.750 0.293
Tm 0.382 0.250 0.056
Tm 0.443 0.750 0.622
Tm 0.557 0.250 0.378
Tm 0.618 0.750 0.944
Tm 0.714 0.250 0.707
Tm 0.786 0.750 0.207
Tm 0.882 0.250 0.444
Tm 0.943 0.750 0.878
Si 0.130 0.250 0.372
Si 0.370 0.750 0.872
Si 0.630 0.250 0.128
Si 0.870 0.750 0.628
Ge 0.014 0.750 0.304
Ge 0.190 0.750 0.999
Ge 0.310 0.250 0.499
Ge 0.486 0.250 0.804
Ge 0.514 0.750 0.196
Ge 0.690 0.750 0.501
Ge 0.810 0.250 0.001
Ge 0.986 0.250 0.696



[5]
Here is crystalline Sr2LaTlO at its relaxed geometry from Alexandria via LeMat-Bulk. Energies are from PBE-GGA.

Values from the calculation:
- density of states at the Fermi level (states/eV per cell) = 0.59
- raw formation energy (meV per atom) = -1294.2

abc: 5.185 5.185 5.155
angles: 90.00 90.00 90.00
Element x y z (fractional)
Sr 0.000 0.500 0.000
Sr 0.500 0.000 0.000
La 0.000 0.000 0.500
Tl 0.500 0.500 0.500
O 0.000 0.000 0.000



[6]
Here is crystalline MgBiPt2F at its relaxed geometry from Alexandria via LeMat-Bulk. Energies are from PBE-GGA.

Values from the calculation:
- density of states at the Fermi level (states/eV per cell) = 6.26
- raw formation energy (meV per atom) = 556.3

abc: 5.066 5.066 5.771
angles: 90.00 90.00 90.00
Element x y z (fractional)
Mg 0.000 0.000 0.000
Bi 0.000 0.000 0.500
Pt 0.000 0.500 0.500
Pt 0.500 0.000 0.500
F 0.500 0.500 0.000



[7]
Here is crystalline ThIn5Hg8 at its relaxed geometry from Alexandria via LeMat-Bulk. Energies are from PBE-GGA.

Values from the calculation:
- DFT formation energy (eV per atom) = -0.004
- density of states at the Fermi level (states/eV per cell) = 7.25

abc: 7.887 7.887 7.887
angles: 108.04 108.04 112.38
Element x y z (fractional)
Th 0.000 0.000 0.000
In 0.245 0.581 0.088
In 0.419 0.507 0.664
In 0.493 0.158 0.912
In 0.750 0.250 0.500
In 0.842 0.755 0.336
Hg 0.008 0.401 0.291
Hg 0.105 0.189 0.710
Hg 0.110 0.717 0.709
Hg 0.283 0.992 0.393
Hg 0.479 0.395 0.290
Hg 0.599 0.890 0.607
Hg 0.605 0.895 0.084
Hg 0.811 0.521 0.916



[8]
Here is crystalline SmPa2H8 at its relaxed geometry from Alexandria via LeMat-Bulk. Energies are from PBE-GGA.

Values from the calculation:
- density of states at the Fermi level (states/eV per cell) = 8.87

abc: 6.388 6.388 6.388
angles: 148.01 126.24 63.94
Element x y z (fractional)
Sm 0.000 0.000 0.000
Pa 0.325 0.325 0.000
Pa 0.675 0.675 0.000
H 0.091 0.836 0.255
H 0.172 0.672 0.500
H 0.273 0.500 0.773
H 0.419 0.164 0.255
H 0.581 0.836 0.745
H 0.727 0.500 0.227
H 0.828 0.328 0.500
H 0.909 0.164 0.745



no.,E (eV/atom)
1,-6.569
2,-6.627
3,-4.513
4,-5.393
5,-4.417
6,-3.329
7,-1.685
8,-4.962